Record 1
Density functional theory data (PBE) for a relaxed structure of Mg2Ni2Pt.

```
data_Mg2Ni2Pt
_cell_length_a 6.046
_cell_length_b 6.046
_cell_length_c 6.046
_cell_angle_alpha 143.50
_cell_angle_beta 143.50
_cell_angle_gamma 52.57
_symmetry_space_group_name_H-M 'P 1'
_symmetry_Int_Tables_number 1
loop_
_symmetry_equiv_pos_as_xyz
'x,y,z'
loop_
_atom_site_label
_atom_site_fract_x
_atom_site_fract_y
_atom_site_fract_z
_atom_site_occupancy
Mg1 0.250 0.750 0.500 1
Mg2 0.750 0.250 0.500 1
Ni1 0.098 0.098 0.000 1
Ni2 0.902 0.902 0.000 1
Pt1 0.500 0.500 0.000 1
```

energy = -3.86 eV per atom
calculated volume = 15.55 Å³ per atom
excess energy over the best structure of this formula in the dataset = 3.081 eV/f.u.
formation enthalpy at 0 K = 302 meV per atom
density = 7.7 Mg/m³
space group = I4/mmm
total magnetic moment = 0.0 μB per formula unit

Record 2
Density functional theory data (PBE) for a relaxed structure of MgNi2Pt.

```
data_MgNi2Pt
_cell_length_a 4.569
_cell_length_b 4.569
_cell_length_c 4.569
_cell_angle_alpha 130.55
_cell_angle_beta 130.55
_cell_angle_gamma 72.52
_symmetry_space_group_name_H-M 'P 1'
_symmetry_Int_Tables_number 1
loop_
_symmetry_equiv_pos_as_xyz
'x,y,z'
loop_
_atom_site_label
_atom_site_fract_x
_atom_site_fract_y
_atom_site_fract_z
_atom_site_occupancy
Mg1 0.000 0.000 0.000 1
Ni1 0.250 0.750 0.500 1
Ni2 0.750 0.250 0.500 1
Pt1 0.500 0.500 0.000 1
```

energy = -5.08 eV per atom
calculated volume = 13.45 Å³ per atom
formation enthalpy at 0 K = -276 meV per atom
density = 10.4 Mg/m³
space group = I4/mmm
total magnetic moment = 0.9 μB per formula unit